BaYSe2 | PBE | optimized geometry

- Mass density: 4.92 g cm⁻³
- ΔE to the lowest computed polymorph: 257.0 meV per atom
- ΔE_f (raw): -6.52 eV/f.u.
- Crystal system: orthorhombic
- Total magnetization: 0.70 μB/cell

Cell: 7.840 7.840 4.188 Å, 89.99 89.99 30.27°
Atoms (fractional coordinates):
Ba1 0.288 0.288 0.125
Se1 0.985 0.985 0.125
Se2 0.703 0.703 0.625
Y1 0.524 0.524 0.625

Ca3Cu2Pd | PBE | optimized geometry

- Mass density: 3.97 g cm⁻³
- Crystal system: orthorhombic
- Formation energy from the elements: -7.08 kcal/mol of atoms
- Total magnetization: 0.00 μB/cell

Cell: 4.299 11.590 11.876 Å, 90.00 90.00 90.00°
Atoms (fractional coordinates):
Ca1 0.750 0.874 0.449
Ca2 0.750 0.558 0.616
Ca3 0.250 0.374 0.051
Ca4 0.750 0.301 0.782
Ca5 0.250 0.442 0.384
Ca6 0.250 0.126 0.551
Ca7 0.250 0.699 0.218
Ca8 0.250 0.058 0.884
Ca9 0.750 0.942 0.116
Ca10 0.750 0.199 0.282
Ca11 0.750 0.626 0.949
Ca12 0.250 0.801 0.718
Pd1 0.250 0.126 0.127
Pd2 0.250 0.374 0.627
Pd3 0.750 0.626 0.373
Pd4 0.750 0.874 0.873
Cu1 0.250 0.689 0.480
Cu2 0.750 0.000 0.695
Cu3 0.750 0.500 0.195
Cu4 0.250 0.000 0.305
Cu5 0.750 0.311 0.520
Cu6 0.250 0.811 0.980
Cu7 0.250 0.500 0.805
Cu8 0.750 0.189 0.020

V3TeS | PBE | optimized geometry

- Mass density: 3.87 g cm⁻³
- ΔE to the lowest computed polymorph: 1185.2 meV per atom
- ΔE_f (raw): 6.27 eV/f.u.
- Crystal system: cubic
- Total magnetization: 10.99 μB/cell

Cell: 5.120 5.120 5.120 Å, 90.00 90.00 90.00°
Atoms (fractional coordinates):
S1 0.500 0.500 0.500
V1 0.500 0.000 0.000
V2 0.000 0.000 0.500
V3 0.000 0.500 0.000
Te1 0.000 0.000 0.000